# Lu2Si2O7

Lu2Si2O7 after structural relaxation (PBE, OQMD). Values from VASP.

Geometry as Quantum ESPRESSO input:
```
&SYSTEM
  ibrav = 0, nat = 44, ntyp = 3
/
ATOMIC_SPECIES
Lu 174.97 Lu.upf
Si 28.09 Si.upf
O 16.00 O.upf
ATOMIC_POSITIONS angstrom
Lu 0.1947 2.0413 1.3397
Lu 0.6088 0.2558 4.1911
Lu 1.8482 5.2923 1.3176
Lu 2.1315 0.8259 7.4778
Lu 3.7726 4.7945 4.3188
Lu 4.0560 0.3282 10.4790
Lu 5.2953 5.3646 7.6055
Lu 5.7094 3.5792 10.4568
Si 0.6413 3.7231 4.4440
Si 0.6971 0.1648 10.4462
Si 2.0907 4.1859 7.0236
Si 2.7117 3.5860 9.7611
Si 3.1925 2.0344 2.0355
Si 3.8134 1.4345 4.7729
Si 5.2070 5.4556 1.3503
Si 5.2628 1.8973 7.3526
O -0.3899 1.3599 10.8269
O 6.2940 4.2605 0.9697
O -0.5181 5.6605 9.6113
O 0.0194 0.9647 6.8547
O 0.2647 2.3880 3.6153
O 1.0266 5.3396 7.3594
O 1.4952 0.5433 0.1068
O 1.5503 3.2775 5.7546
O 1.5758 4.8358 3.6537
O 1.4326 3.7797 10.7315
O 2.1081 3.0801 1.4367
O 1.9825 0.6393 9.6046
O 2.4210 0.6789 2.5332
O 2.2182 3.0151 8.1985
O 2.4493 0.7104 5.2934
O 3.4549 4.9101 6.5031
O 3.6859 2.6053 3.5980
O 3.4831 4.9415 9.2634
O 3.9216 4.9811 2.1919
O 3.7960 2.5404 10.3598
O 4.4715 1.8407 1.0650
O 4.3284 0.7846 8.1428
O 4.3538 2.3430 6.0419
O 4.4089 5.0772 11.6898
O 4.8775 0.2808 4.4372
O 5.6394 3.2324 8.1813
O 5.8847 4.6557 4.9419
O 6.4222 -0.0401 2.1853
CELL_PARAMETERS angstrom
6.4937 0.0000 0.0000
-0.2553 6.5209 0.0000
-0.3342 -0.9004 11.7965
```

Output
volume = 500 Å³/cell
energy = -8.191 eV per atom
space-group type = P-1, No. 2


# Lu2Si2O5

Lu2Si2O5 after structural relaxation (PBE, OQMD). Values from VASP.

Geometry as Quantum ESPRESSO input:
```
&SYSTEM
  ibrav = 0, nat = 9, ntyp = 3
/
ATOMIC_SPECIES
Lu 174.97 Lu.upf
Si 28.09 Si.upf
O 16.00 O.upf
ATOMIC_POSITIONS angstrom
Lu 0.0000 0.0000 0.0000
Lu 0.0000 0.0000 3.1135
Si 1.9210 1.9210 1.3296
Si 1.9210 1.9210 4.8974
O 0.0000 1.9210 1.4805
O 0.0000 1.9210 4.7465
O 1.9210 0.0000 1.4805
O 1.9210 0.0000 4.7465
O 1.9210 1.9210 3.1135
CELL_PARAMETERS angstrom
3.8420 0.0000 0.0000
0.0000 3.8420 0.0000
0.0000 0.0000 6.2270
```

Output
volume = 92 Å³/cell
relative energy among the computed polymorphs = 0.00 eV/f.u.
energy = -7.076 eV per atom
space-group type = P4/mmm, No. 123


# Lu2Si2O7

Lu2Si2O7 after structural relaxation (PBE, OQMD). Values from VASP.

Geometry as Quantum ESPRESSO input:
```
&SYSTEM
  ibrav = 0, nat = 22, ntyp = 3
/
ATOMIC_SPECIES
Lu 174.97 Lu.upf
Si 28.09 Si.upf
O 16.00 O.upf
ATOMIC_POSITIONS angstrom
Lu 0.2767 1.5993 2.2212
Lu -0.0178 3.7015 4.9375
Lu 4.1052 6.9000 0.4951
Lu 3.8108 9.0022 3.2114
Si 1.2957 6.5089 3.5121
Si 1.5902 9.3932 0.7958
Si 2.4973 1.2082 4.6368
Si 2.7918 4.0925 1.9205
O 0.2835 7.2605 2.4773
O -0.0109 8.6417 5.1936
O 0.4332 5.8351 4.7438
O 0.7276 10.0671 2.0274
O 1.3384 2.1865 4.0345
O 1.6329 3.1142 1.3181
O 2.3382 0.0000 0.0000
O 2.0437 5.3007 2.7163
O 2.4546 7.4872 4.1145
O 2.7491 8.4149 1.3982
O 3.3598 0.5343 3.4052
O 3.6543 4.7664 0.6889
O 4.0984 1.9598 0.2390
O 3.8040 3.3409 2.9553
CELL_PARAMETERS angstrom
4.6764 0.0000 0.0000
0.0000 10.6014 0.0000
-0.5889 0.0000 5.4326
```

Output
volume = 269 Å³/cell
energy = -8.235 eV per atom
space-group type = P2_1/c, No. 14


# Lu3SiO

Lu3SiO after structural relaxation (PBE, OQMD). Values from VASP.

Geometry as Quantum ESPRESSO input:
```
&SYSTEM
  ibrav = 0, nat = 20, ntyp = 3
/
ATOMIC_SPECIES
Lu 174.97 Lu.upf
Si 28.09 Si.upf
O 16.00 O.upf
ATOMIC_POSITIONS angstrom
Lu 0.1911 2.2213 0.6812
Lu 1.3414 0.4448 4.0268
Lu 1.3414 3.9978 4.0268
Lu 2.1758 4.8874 1.0040
Lu 2.1758 8.4404 1.0040
Lu 3.3262 6.6639 3.7040
Lu 3.7083 2.2213 2.3416
Lu 4.8586 0.4448 5.0416
Lu 4.8586 3.9978 5.0416
Lu 5.6931 4.8874 2.0188
Lu 5.6931 8.4404 2.0188
Lu 6.8434 6.6639 5.3644
Si 0.7618 6.6639 2.6876
Si 2.7554 2.2213 5.7104
Si 4.2790 6.6639 0.3352
Si 6.2727 2.2213 3.3580
O 0.0000 0.0000 0.0000
O 0.0000 4.4426 0.0000
O 3.5172 0.0000 3.0228
O 3.5172 4.4426 3.0228
CELL_PARAMETERS angstrom
7.0345 0.0000 0.0000
0.0000 8.8852 0.0000
0.0000 0.0000 6.0456
```

Output
volume = 378 Å³/cell
energy = -6.261 eV per atom
space-group type = Pnma, No. 62


# Sm2LuO4

Sm2LuO4 after structural relaxation (PBE, OQMD). Values from VASP.

Geometry as Quantum ESPRESSO input:
```
&SYSTEM
  ibrav = 0, nat = 14, ntyp = 3
/
ATOMIC_SPECIES
Sm 150.36 Sm.upf
Lu 174.97 Lu.upf
O 16.00 O.upf
ATOMIC_POSITIONS angstrom
Sm 0.0000 0.0000 0.0000
Sm 2.4120 2.4120 0.0000
Sm 2.4120 0.0000 2.4120
Sm 0.0000 2.4120 2.4120
Lu 3.6179 3.6179 3.6179
Lu 6.0299 6.0299 6.0299
O 7.2395 4.8204 4.8204
O 2.4084 2.4084 2.4084
O 4.8275 4.8275 2.4084
O 4.8275 2.4084 4.8275
O 4.8204 7.2395 4.8204
O 4.8204 4.8204 7.2395
O 7.2395 7.2395 7.2395
O 2.4084 4.8275 4.8275
CELL_PARAMETERS angstrom
0.0000 4.8239 4.8239
4.8239 0.0000 4.8239
4.8239 4.8239 0.0000
```

Output
volume = 225 Å³/cell
energy = -7.993 eV per atom
space-group type = Fd-3m, No. 227


# Lu2Sn2O7

Lu2Sn2O7 after structural relaxation (PBE, OQMD). Values from VASP.

Geometry as Quantum ESPRESSO input:
```
&SYSTEM
  ibrav = 0, nat = 22, ntyp = 3
/
ATOMIC_SPECIES
Lu 174.97 Lu.upf
Sn 118.71 Sn.upf
O 16.00 O.upf
ATOMIC_POSITIONS angstrom
Lu 0.0000 0.0000 0.0000
Lu 2.5697 2.5697 0.0000
Lu 2.5697 0.0000 2.5697
Lu 0.0000 2.5697 2.5697
Sn 5.1394 2.5697 2.5697
Sn 2.5697 5.1394 2.5697
Sn 2.5697 2.5697 5.1394
Sn 5.1394 5.1394 5.1394
O 1.2849 1.2849 1.2849
O 3.8546 3.8546 1.6106
O 3.8546 1.6106 3.8546
O 6.0985 3.8546 3.8546
O 6.4243 6.4243 4.1803
O 6.4243 4.1803 6.4243
O 8.6683 6.4243 6.4243
O 1.6106 3.8546 3.8546
O 3.8546 6.0985 3.8546
O 3.8546 3.8546 6.0985
O 4.1803 6.4243 6.4243
O 6.4243 8.6683 6.4243
O 6.4243 6.4243 8.6683
O 8.9940 8.9940 8.9940
CELL_PARAMETERS angstrom
0.0000 5.1394 5.1394
5.1394 0.0000 5.1394
5.1394 5.1394 0.0000
```

Output
volume = 271 Å³/cell
energy = -7.282 eV per atom
space-group type = Fd-3m, No. 227


# Lu2Sn2O5

Lu2Sn2O5 after structural relaxation (PBE, OQMD). Values from VASP.

Geometry as Quantum ESPRESSO input:
```
&SYSTEM
  ibrav = 0, nat = 9, ntyp = 3
/
ATOMIC_SPECIES
Lu 174.97 Lu.upf
Sn 118.71 Sn.upf
O 16.00 O.upf
ATOMIC_POSITIONS angstrom
Lu 0.0000 0.0000 0.0000
Lu 0.0000 0.0000 3.4906
Sn 2.0725 2.0725 1.4397
Sn 2.0725 2.0725 5.5415
O 0.0000 2.0725 1.8266
O 0.0000 2.0725 5.1547
O 2.0725 0.0000 1.8266
O 2.0725 0.0000 5.1547
O 2.0725 2.0725 3.4906
CELL_PARAMETERS angstrom
4.1450 0.0000 0.0000
0.0000 4.1450 0.0000
0.0000 0.0000 6.9812
```

Output
volume = 120 Å³/cell
relative energy among the computed polymorphs = 5.31 eV/f.u.
energy = -6.235 eV per atom
space-group type = P4/mmm, No. 123


# LuSn2O4

LuSn2O4 after structural relaxation (PBE, OQMD). Values from VASP.

Geometry as Quantum ESPRESSO input:
```
&SYSTEM
  ibrav = 0, nat = 14, ntyp = 3
/
ATOMIC_SPECIES
Lu 174.97 Lu.upf
Sn 118.71 Sn.upf
O 16.00 O.upf
ATOMIC_POSITIONS angstrom
Lu 1.2049 1.2049 1.2049
Lu 8.4340 8.4340 8.4340
Sn 4.8194 2.4097 2.4097
Sn 2.4097 4.8194 2.4097
Sn 2.4097 2.4097 4.8194
Sn 4.8194 4.8194 4.8194
O 2.4232 2.4232 2.4232
O 4.8060 4.8060 2.4232
O 4.8060 2.4232 4.8060
O 7.2157 4.8329 4.8329
O 2.4232 4.8060 4.8060
O 4.8329 7.2157 4.8329
O 4.8329 4.8329 7.2157
O 7.2157 7.2157 7.2157
CELL_PARAMETERS angstrom
0.0000 4.8194 4.8194
4.8194 0.0000 4.8194
4.8194 4.8194 0.0000
```

Output
volume = 224 Å³/cell
energy = -6.394 eV per atom
space-group type = Fd-3m, No. 227


# Lu2Sn2O5

Lu2Sn2O5 after structural relaxation (PBE, OQMD). Values from VASP.

Geometry as Quantum ESPRESSO input:
```
&SYSTEM
  ibrav = 0, nat = 9, ntyp = 3
/
ATOMIC_SPECIES
Lu 174.97 Lu.upf
Sn 118.71 Sn.upf
O 16.00 O.upf
ATOMIC_POSITIONS angstrom
Lu 0.0000 0.0000 1.9827
Lu 0.0000 0.0000 6.0969
Sn 2.0887 2.0887 0.0000
Sn 2.0887 2.0887 4.0398
O 0.0000 0.0000 4.0398
O 0.0000 2.0887 1.5252
O 0.0000 2.0887 6.5544
O 2.0887 0.0000 1.5252
O 2.0887 0.0000 6.5544
CELL_PARAMETERS angstrom
4.1773 0.0000 0.0000
0.0000 4.1773 0.0000
0.0000 0.0000 8.0796
```

Output
volume = 141 Å³/cell
relative energy among the computed polymorphs = 0.00 eV/f.u.
energy = -6.825 eV per atom
space-group type = P4/mmm, No. 123


# Sr2Lu2O5

Sr2Lu2O5 after structural relaxation (PBE, OQMD). Values from VASP.

Geometry as Quantum ESPRESSO input:
```
&SYSTEM
  ibrav = 0, nat = 9, ntyp = 3
/
ATOMIC_SPECIES
Sr 87.62 Sr.upf
Lu 174.97 Lu.upf
O 16.00 O.upf
ATOMIC_POSITIONS angstrom
Sr 0.0000 0.0000 2.4002
Sr 0.0000 0.0000 7.8869
Lu 1.9447 1.9447 0.0000
Lu 1.9447 1.9447 5.1436
O 0.0000 0.0000 5.1436
O 0.0000 1.9447 1.2315
O 0.0000 1.9447 9.0556
O 1.9447 0.0000 1.2315
O 1.9447 0.0000 9.0556
CELL_PARAMETERS angstrom
3.8894 0.0000 0.0000
0.0000 3.8894 0.0000
0.0000 0.0000 10.2871
```

Output
volume = 156 Å³/cell
relative energy among the computed polymorphs = 9.56 eV/f.u.
energy = -6.184 eV per atom
space-group type = P4/mmm, No. 123


# SrLu2O4

SrLu2O4 after structural relaxation (PBE, OQMD). Values from VASP.

Geometry as Quantum ESPRESSO input:
```
&SYSTEM
  ibrav = 0, nat = 28, ntyp = 3
/
ATOMIC_SPECIES
Sr 87.62 Sr.upf
Lu 174.97 Lu.upf
O 16.00 O.upf
ATOMIC_POSITIONS angstrom
Sr 2.4451 0.8301 1.7586
Sr 2.5059 2.4903 7.5911
Sr 7.3961 0.8301 4.0738
Sr 7.4568 2.4903 9.9062
Lu 0.7410 0.8301 4.5300
Lu 0.7725 0.8301 10.3916
Lu 4.1785 2.4903 4.5591
Lu 4.2099 2.4903 10.3625
Lu 5.6920 0.8301 1.3024
Lu 5.7235 0.8301 7.1057
Lu 9.1294 2.4903 1.2733
Lu 9.1609 2.4903 7.1348
O 0.1803 2.4903 9.1307
O 0.7365 0.8301 6.7217
O 1.2145 2.4903 0.2305
O 2.0808 2.4903 3.8535
O 2.8702 0.8301 9.6860
O 3.7365 0.8301 6.0629
O 4.2145 2.4903 0.8893
O 4.7706 0.8301 3.2983
O 5.1313 2.4903 8.3666
O 5.6874 0.8301 10.7756
O 6.1655 2.4903 5.6020
O 7.0318 2.4903 1.9789
O 7.8211 0.8301 7.8113
O 8.6874 0.8301 11.4344
O 9.1655 2.4903 4.9431
O 9.7216 0.8301 2.5341
CELL_PARAMETERS angstrom
9.9019 0.0000 0.0000
0.0000 3.3204 0.0000
0.0000 0.0000 11.6649
```

Output
volume = 384 Å³/cell
energy = -7.798 eV per atom
space-group type = Pnma, No. 62


# Sr2Lu2O5

Sr2Lu2O5 after structural relaxation (PBE, OQMD). Values from VASP.

Geometry as Quantum ESPRESSO input:
```
&SYSTEM
  ibrav = 0, nat = 9, ntyp = 3
/
ATOMIC_SPECIES
Sr 87.62 Sr.upf
Lu 174.97 Lu.upf
O 16.00 O.upf
ATOMIC_POSITIONS angstrom
Sr 0.0000 0.0000 0.0000
Sr 0.0000 0.0000 3.9775
Lu 2.1088 2.1088 1.9394
Lu 2.1088 2.1088 6.0157
O 0.0000 2.1088 1.5969
O 0.0000 2.1088 6.3581
O 2.1088 0.0000 1.5969
O 2.1088 0.0000 6.3581
O 2.1088 2.1088 3.9775
CELL_PARAMETERS angstrom
4.2176 0.0000 0.0000
0.0000 4.2176 0.0000
0.0000 0.0000 7.9551
```

Output
volume = 142 Å³/cell
relative energy among the computed polymorphs = 0.00 eV/f.u.
energy = -7.246 eV per atom
space-group type = P4/mmm, No. 123